# PrGeIr

PrGeIr after structural relaxation (PBE-GGA, the Alexandria database).

Calculated volume ... 20.7 A^3/atom
DFT formation energy ... -0.793 eV per atom
Symmetry ... No. 62
E_tot ... -82.55 eV/cell

a b c (Å): 4.496 7.279 7.580
angles (deg): 90.00 90.00 90.00
Positions (direct):
Pr: 0.750 0.516 0.196
Pr: 0.250 0.984 0.696
Pr: 0.750 0.016 0.304
Pr: 0.250 0.484 0.804
Ge: 0.250 0.823 0.085
Ge: 0.250 0.323 0.415
Ge: 0.750 0.177 0.915
Ge: 0.750 0.677 0.585
Ir: 0.250 0.196 0.090
Ir: 0.250 0.696 0.410
Ir: 0.750 0.304 0.590
Ir: 0.750 0.804 0.910